<A>
Here is a relaxed structure of ReRhBr2 from Alexandria. Energies are from PBE-GGA.

a = 3.0450 Å, b = 4.3700 Å, c = 5.4614 Å
α = 90.00°, β = 95.49°, γ = 90.00°
Closest atoms and distances in Å follow each position.
Positions (direct):
1 Re 0.0000 0.0000 0.0000  4 Br 2.62
2 Rh 0.5000 0.0000 0.5000  4 Br 2.69, 2 Re 3.00
3 Br 0.2006 0.5000 0.2495  2 Re 2.62, 2 Rh 2.69, 1 Br 2.88
4 Br 0.7994 0.5000 0.7505  2 Re 2.62, 2 Rh 2.69, 1 Br 2.88

Summary:
Its density of states at the Fermi level is 1.1198 states/eV/atom. Its symmetry is No. 10.


<B>
Here is a relaxed structure of ReRhBr2 from Alexandria. Energies are from PBE-GGA.

a = 8.4989 Å, b = 8.4989 Å, c = 8.4989 Å
α = 149.75°, β = 149.75°, γ = 43.31°
Closest atoms and distances in Å follow each position.
Positions (direct):
1 Re 0.0000 0.0000 0.0000  4 Br 2.51
2 Re 0.7500 0.2500 0.5000  4 Br 2.51
3 Rh 0.2500 0.7500 0.5000  4 Br 2.54
4 Rh 0.5000 0.5000 0.0000  4 Br 2.54
5 Br 0.1168 0.6250 0.9918  2 Re 2.51, 2 Rh 2.54
6 Br 0.3750 0.3668 0.4918  2 Re 2.51, 2 Rh 2.54
7 Br 0.6332 0.1250 0.0082  2 Re 2.51, 2 Rh 2.54
8 Br 0.8750 0.8832 0.5082  2 Re 2.51, 2 Rh 2.54

Summary:
Its density of states at the Fermi level is 0.9575 states/eV/atom. Its symmetry is No. 122.


Stability verdict: <B>, ahead by 10 meV per atom


<A>
Here is a relaxed structure of Sc2TaCo from Alexandria. Energies are from PBE-GGA.

a = 4.6886 Å, b = 4.6886 Å, c = 4.6886 Å
α = 60.00°, β = 60.00°, γ = 60.00°
Closest atoms and distances in Å follow each position.
Positions (direct):
1 Sc 0.2500 0.2500 0.2500  4 Co 2.87, 4 Ta 2.87
2 Sc 0.7500 0.7500 0.7500  4 Co 2.87, 4 Ta 2.87
3 Ta 0.0000 0.0000 0.0000  8 Sc 2.87
4 Co 0.5000 0.5000 0.5000  8 Sc 2.87

Summary:
Its density of states at the Fermi level is 0.9698 states/eV/atom. Its symmetry is No. 225.


<B>
Here is a relaxed structure of Sc2TaCo from Alexandria. Energies are from PBE-GGA.

a = 5.3809 Å, b = 5.3809 Å, c = 5.3809 Å
α = 137.30°, β = 137.30°, γ = 61.97°
Closest atoms and distances in Å follow each position.
Positions (direct):
1 Sc 0.2500 0.7500 0.5000  4 Sc 2.77, 4 Ta 3.03, 4 Co 3.03
2 Sc 0.7500 0.2500 0.5000  4 Sc 2.77, 4 Ta 3.03, 4 Co 3.03
3 Ta 0.0000 0.0000 0.0000  4 Co 2.77, 8 Sc 3.03
4 Co 0.5000 0.5000 0.0000  4 Ta 2.77, 8 Sc 3.03

Summary:
Its density of states at the Fermi level is 1.9650 states/eV/atom. Its symmetry is No. 139.


Stability verdict: <B>, ahead by 40 meV per atom